Nd4SiSbI2: optimized geometry, GGA-PBE.

Output
- E_tot: -39.9 eV for the cell shown
- Raw formation energy: -1.03 eV per atom

POSCAR file:
```
Nd4SiSbI2
1.0
-4.368 -0.064 -0.590
-0.342 -7.039 3.296
-0.865 5.556 5.797
Nd I Sb Si
4 2 1 1
Direct
0.500 0.213 0.199 Nd
0.000 0.758 0.205 Nd
0.500 0.787 0.801 Nd
0.000 0.242 0.795 Nd
0.000 0.500 0.500 I
0.500 0.000 0.500 I
0.500 0.500 0.000 Sb
0.000 0.000 0.000 Si
```


Sn4PdPt5: optimized geometry, GGA-PBE.

Output
- E_tot: -54.9 eV for the cell shown
- Formation enthalpy at 0 K: -3.5 eV per formula unit

POSCAR file:
```
Sn4PdPt5
1.0
3.901 0.000 -1.068
-0.632 6.194 -2.308
0.041 0.235 7.804
Pt Sn Pd
5 4 1
Direct
0.128 0.453 0.255 Pt
0.872 0.547 0.745 Pt
0.312 0.132 0.625 Pt
0.688 0.868 0.375 Pt
0.500 0.500 0.000 Pt
0.693 0.278 0.386 Sn
0.307 0.722 0.614 Sn
0.062 0.805 0.125 Sn
0.938 0.195 0.875 Sn
0.500 0.000 0.000 Pd
```


La2NbPd2: optimized geometry, GGA-PBE.

Output
- E_tot: -63.7 eV for the cell shown
- Formation enthalpy at 0 K: -1.5 eV per formula unit

POSCAR file:
```
La2NbPd2
1.0
7.634 0.000 0.000
0.000 7.634 0.000
0.000 0.000 4.181
La Pd Nb
4 4 2
Direct
0.677 0.823 0.500 La
0.177 0.677 0.500 La
0.323 0.177 0.500 La
0.823 0.323 0.500 La
0.869 0.631 0.000 Pd
0.631 0.131 0.000 Pd
0.369 0.869 0.000 Pd
0.131 0.369 0.000 Pd
0.000 0.000 0.000 Nb
0.500 0.500 0.000 Nb
```


Cu2NiIr: optimized geometry, GGA-PBE.

Output
- E_tot: -22.5 eV for the cell shown
- Formation enthalpy at 0 K: 0.3 eV per formula unit

POSCAR file:
```
Cu2NiIr
1.0
-2.048 -6.914 -4.653
-2.770 -7.794 -2.289
-4.430 -6.344 -3.712
Cu Ni Ir
2 1 1
Direct
0.004 0.004 0.004 Cu
0.496 0.496 0.496 Cu
0.750 0.750 0.750 Ni
0.250 0.250 0.250 Ir
```


HgOs3: optimized geometry, GGA-PBE.

Output
- E_tot: -119.7 eV for the cell shown
- Formation enthalpy at 0 K: 4.1 eV per formula unit

POSCAR file:
```
HgOs3
1.0
-2.551 -4.082 2.925
2.533 -4.986 0.674
3.948 3.047 7.696
Os Hg
12 4
Direct
0.500 0.500 0.500 Os
0.664 0.168 0.250 Os
0.168 0.664 0.250 Os
0.000 0.500 0.500 Os
0.500 0.000 0.500 Os
0.500 0.000 0.000 Os
0.000 0.500 0.000 Os
0.832 0.336 0.750 Os
0.168 0.168 0.250 Os
0.500 0.500 0.000 Os
0.336 0.832 0.750 Os
0.832 0.832 0.750 Os
0.667 0.667 0.250 Hg
0.000 0.000 0.500 Hg
0.000 0.000 0.000 Hg
0.333 0.333 0.750 Hg
```


YSbRu2: optimized geometry, GGA-PBE.

Output
- E_tot: -29.9 eV for the cell shown
- Raw formation energy: -0.19 eV per atom

POSCAR file:
```
YSbRu2
1.0
5.441 -0.009 -0.120
2.559 4.801 0.120
-3.938 -2.500 2.803
Ru Y Sb
2 1 1
Direct
0.750 0.250 0.500 Ru
0.000 0.000 0.000 Ru
0.250 0.750 0.500 Y
0.500 0.500 0.000 Sb
```


NdSmHgTe: optimized geometry, GGA-PBE.

Output
- E_tot: -16.6 eV for the cell shown
- Raw formation energy: -0.91 eV per atom

POSCAR file:
```
NdSmHgTe
1.0
-4.183 0.450 0.882
-2.860 -2.720 -1.703
-1.551 -5.467 5.909
Hg Te Sm Nd
1 1 1 1
Direct
0.249 0.249 0.254 Hg
0.751 0.751 0.746 Te
0.499 0.499 0.503 Sm
0.001 0.001 0.997 Nd
```


EuH2: optimized geometry, GGA-PBE.

Output
- E_tot: -32.3 eV for the cell shown

POSCAR file:
```
EuH2
1.0
4.658 0.000 0.000
2.329 4.034 0.000
2.329 1.345 3.803
Eu H
2 4
Direct
0.000 0.000 0.000 Eu
0.250 0.250 0.250 Eu
0.125 0.625 0.625 H
0.625 0.125 0.625 H
0.625 0.625 0.625 H
0.625 0.625 0.125 H
```


| no. | density of states at the Fermi level (states/eV/cell) |
| --- | --- |
| 1 | 3.952 |
| 2 | 3.359 |
| 3 | 10.562 |
| 4 | 4.176 |
| 5 | 18.593 |
| 6 | 2.160 |
| 7 | 2.270 |
| 8 | 0.355 |